VASP calculation (PBE-GGA) on Ba3YF after structural relaxation.

Lattice parameters (Å, degrees): 5.7880 5.7880 5.7880 90.00 90.00 90.00
Sites, in units of the cell vectors:
Ba (0.0000, 0.0000, 0.5000)
Ba (0.0000, 0.5000, 0.0000)
Ba (0.5000, 0.0000, 0.0000)
Y (0.5000, 0.5000, 0.5000)
F (0.0000, 0.0000, 0.0000)

* energy relative to the elements, uncorrected: -4.6 eV per formula unit
* total energy: -3.7372 eV per atom
* size of the total moment: 0.000 μB/atom
* DOS(E_F): 1.359 states/eV per atom